1.
Material: Ac2PRh3
Method: DFT, PBE
State: optimized geometry

Fermi-level density of states (states/eV per cell): 8.734
Formation energy (eV per atom): -0.829
Magnetization (μB per atom): 0.0000

a b c (Å): 8.5885 8.5633 6.0929
angles (deg): 69.41 68.97 41.62
Fractional coordinates of all 12 atoms:
Ac1 0.2460 0.7540 0.2460
Ac2 0.2500 0.2500 0.2500
Ac3 0.7500 0.7500 0.7500
Ac4 0.7540 0.2460 0.7540
P1 0.1688 0.1688 0.8312
P2 0.8312 0.8312 0.1688
Rh1 0.1430 0.6783 0.8570
Rh2 0.3217 0.8570 0.6783
Rh3 0.3239 0.3239 0.6761
Rh4 0.6761 0.6761 0.3239
Rh5 0.6783 0.1430 0.3217
Rh6 0.8570 0.3217 0.1430

***

2.
Material: AcP2Rh3
Method: DFT, PBE
State: optimized geometry

Fermi-level density of states (states/eV per cell): 6.334
Formation energy (eV per atom): -0.934
Magnetization (μB per atom): 0.0000

a b c (Å): 7.8250 7.8250 7.7316
angles (deg): 114.71 114.71 30.25
Fractional coordinates of all 12 atoms:
Ac1 0.1462 0.1462 0.0672
Ac2 0.8538 0.8538 0.9328
P1 0.1874 0.1874 0.6807
P2 0.4791 0.4791 0.7779
P3 0.5209 0.5209 0.2221
P4 0.8126 0.8126 0.3193
Rh1 0.0486 0.0486 0.3789
Rh2 0.3126 0.3126 0.5751
Rh3 0.3953 0.3953 0.3167
Rh4 0.6047 0.6047 0.6833
Rh5 0.6874 0.6874 0.4249
Rh6 0.9514 0.9514 0.6211

***

Number 1: V 22.94 Å³ per atom. Number 2: V 17.92 Å³ per atom.